[1]
! GGA-PBE AcMg2Cd9, optimized geometry; values from VASP
! offset from the most stable computed form = 0 meV/atom
! crystal system = tetragonal
! space-group type = No. 141
&SYSTEM
  ibrav = 0, nat = 24, ntyp = 3
/
ATOMIC_SPECIES
Mg 24.30 Mg.upf
Cd 112.41 Cd.upf
Ac 227.00 Ac.upf
ATOMIC_POSITIONS crystal
Mg 0.375 0.750 0.750
Mg 0.875 0.250 0.250
Mg 0.875 0.750 0.250
Mg 0.875 0.250 0.750
Cd 0.750 0.500 0.500
Cd 0.745 0.826 0.584
Cd 0.596 0.084 0.326
Cd 0.745 0.584 0.826
Cd 0.671 0.174 0.584
Cd 0.596 0.326 0.084
Cd 0.079 0.326 0.916
Cd 0.321 0.674 0.084
Cd 0.429 0.826 0.416
Cd 0.154 0.174 0.416
Cd 0.005 0.916 0.674
Cd 0.671 0.584 0.174
Cd 0.079 0.916 0.326
Cd 0.005 0.674 0.916
Cd 0.154 0.416 0.174
Cd 0.429 0.416 0.826
Cd 0.321 0.084 0.674
Cd 0.000 0.000 0.000
Ac 0.250 0.500 0.500
Ac 0.500 0.000 0.000
CELL_PARAMETERS angstrom
7.138 0.000 3.286
3.569 8.481 1.643
0.023 0.000 9.347

***

[2]
! GGA-PBE Ac2MgCd4, optimized geometry; values from VASP
! offset from the most stable computed form = 0 meV/atom
! crystal system = trigonal
! space-group type = No. 166
&SYSTEM
  ibrav = 0, nat = 7, ntyp = 3
/
ATOMIC_SPECIES
Ac 227.00 Ac.upf
Cd 112.41 Cd.upf
Mg 24.30 Mg.upf
ATOMIC_POSITIONS crystal
Ac 0.250 0.250 0.249
Ac 0.750 0.750 0.751
Cd 0.854 0.854 0.439
Cd 0.146 0.146 0.561
Cd 0.642 0.642 0.075
Cd 0.358 0.358 0.925
Mg 0.000 0.000 0.000
CELL_PARAMETERS angstrom
-1.903 -0.269 -4.454
2.064 -2.834 -3.352
-6.286 -9.457 0.616

***

[3]
! GGA-PBE AcMg6Cd6, optimized geometry; values from VASP
! crystal system = orthorhombic
! space-group type = No. 71
&SYSTEM
  ibrav = 0, nat = 13, ntyp = 3
/
ATOMIC_SPECIES
Cd 112.41 Cd.upf
Mg 24.30 Mg.upf
Ac 227.00 Ac.upf
ATOMIC_POSITIONS crystal
Cd 0.500 0.000 0.500
Cd 0.000 0.000 0.500
Cd 0.500 0.217 0.783
Cd 0.000 0.500 0.000
Cd 0.500 0.783 0.217
Cd 0.500 0.500 0.000
Mg 0.647 0.353 0.353
Mg 0.714 0.786 0.786
Mg 0.353 0.647 0.647
Mg 0.000 0.647 0.353
Mg 0.000 0.353 0.647
Mg 0.286 0.214 0.214
Ac 0.000 0.000 0.000
CELL_PARAMETERS angstrom
-2.438 4.109 -3.604
1.868 -1.074 -7.458
-6.962 -2.133 -2.692

***

[4]
! GGA-PBE Ac3Mg9Cd2, optimized geometry; values from VASP
! crystal system = orthorhombic
! space-group type = No. 71
&SYSTEM
  ibrav = 0, nat = 14, ntyp = 3
/
ATOMIC_SPECIES
Ac 227.00 Ac.upf
Mg 24.30 Mg.upf
Cd 112.41 Cd.upf
ATOMIC_POSITIONS crystal
Ac 0.000 0.000 0.000
Ac 0.709 0.291 0.291
Ac 0.291 0.709 0.709
Mg 0.000 0.500 0.500
Mg 0.863 0.425 0.850
Mg 0.346 0.010 0.299
Mg 0.654 0.701 0.990
Mg 0.346 0.299 0.010
Mg 0.137 0.150 0.575
Mg 0.863 0.850 0.425
Mg 0.137 0.575 0.150
Mg 0.654 0.990 0.701
Cd 0.500 0.330 0.670
Cd 0.500 0.670 0.330
CELL_PARAMETERS angstrom
-5.123 0.712 0.364
-3.751 -4.340 -7.376
-3.626 -8.329 2.188

***

no.,formation enthalpy at 0 K (meV/atom)
1,-181
2,-133
3,-173
4,-103